Compound: Sm6CN2Cl3
Source: Alexandria via LeMat-Bulk
Functional: GGA-PBE
Structure: optimized geometry

Unit cell a=6.3578 b=6.3578 c=7.2718 alpha=98.38 beta=98.38 gamma=120.00
Fractional coordinates of all 12 atoms:
Sm (0.0625, 0.3980, 0.1872)
Sm (0.7267, 0.7267, 0.1870)
Cl (0.5000, 0.5000, 0.5000)
Sm (0.9375, 0.6020, 0.8128)
Cl (0.1648, 0.8352, 0.5000)
Sm (0.6020, 0.9375, 0.8128)
Sm (0.3980, 0.0625, 0.1872)
Sm (0.2733, 0.2733, 0.8130)
Cl (0.8352, 0.1648, 0.5000)
N (0.3332, 0.6668, 0.0000)
C (0.0000, 0.0000, 0.0000)
N (0.6668, 0.3332, 0.0000)

Summary:
- space group = No. 12
- electronic total energy (eV/cell) = -76.63
- theoretical density (g/cm3) = 7.2

Compound: Sm6C2N3Cl
Source: Alexandria via LeMat-Bulk
Functional: GGA-PBE
Structure: optimized geometry

Unit cell a=3.6592 b=7.5098 c=8.2503 alpha=102.87 beta=102.81 gamma=90.00
Fractional coordinates of all 12 atoms:
C (0.8374, 0.6712, 0.6748)
Sm (0.3315, 0.4144, 0.6630)
N (0.1663, 0.8336, 0.3325)
N (0.5000, 0.5000, 0.0000)
Sm (0.9994, 0.7163, 0.9987)
N (0.8337, 0.1664, 0.6675)
Sm (0.6685, 0.5856, 0.3370)
Cl (0.5000, 0.0000, 0.0000)
Sm (0.6778, 0.0913, 0.3556)
Sm (0.0006, 0.2837, 0.0013)
C (0.1626, 0.3288, 0.3252)
Sm (0.3222, 0.9087, 0.6444)

Summary:
- space group = No. 12
- electronic total energy (eV/cell) = -85.70
- theoretical density (g/cm3) = 7.7

Compound: Sm6C2NCl3
Source: Alexandria via LeMat-Bulk
Functional: GGA-PBE
Structure: optimized geometry

Unit cell a=6.4048 b=6.4048 c=7.3110 alpha=98.40 beta=98.40 gamma=120.00
Fractional coordinates of all 12 atoms:
Cl (0.1687, 0.8313, 0.5000)
Sm (0.0631, 0.3942, 0.1893)
Cl (0.8313, 0.1687, 0.5000)
Sm (0.9369, 0.6058, 0.8107)
C (0.3335, 0.6665, 0.0000)
N (0.0000, 0.0000, 0.0000)
Sm (0.7321, 0.7321, 0.1896)
C (0.6665, 0.3335, 0.0000)
Sm (0.2679, 0.2679, 0.8104)
Sm (0.3942, 0.0631, 0.1893)
Cl (0.5000, 0.5000, 0.5000)
Sm (0.6058, 0.9369, 0.8107)

Summary:
- space group = No. 12
- electronic total energy (eV/cell) = -75.49
- theoretical density (g/cm3) = 7.0

Compound: Sm8C3NCl3
Source: Alexandria via LeMat-Bulk
Functional: GGA-PBE
Structure: optimized geometry

Unit cell a=7.4556 b=7.4576 c=8.0352 alpha=117.67 beta=90.00 gamma=120.01
Fractional coordinates of all 15 atoms:
Sm (0.7658, 0.0357, 0.3018)
C (0.0000, 0.5000, 0.5000)
C (0.5000, 0.5000, 0.5000)
Sm (0.7660, 0.5319, 0.3019)
Cl (0.0000, 0.0000, 0.0000)
Sm (0.2342, 0.9643, 0.6982)
Cl (0.5000, 0.5000, 0.0000)
Sm (0.2340, 0.4681, 0.6981)
Cl (0.0000, 0.5000, 0.0000)
Sm (0.2675, 0.5354, 0.3032)
Sm (0.7301, 0.9643, 0.6982)
Sm (0.7325, 0.4646, 0.6968)
C (0.5000, 0.0000, 0.5000)
Sm (0.2699, 0.0357, 0.3018)
N (0.0000, 0.0000, 0.5000)

Summary:
- space group = No. 166
- electronic total energy (eV/cell) = -94.47
- theoretical density (g/cm3) = 6.9

Compound: Tb4CNCl2
Source: Alexandria via LeMat-Bulk
Functional: GGA-PBE
Structure: optimized geometry

Unit cell a=3.6163 b=6.2543 c=7.1187 alpha=107.16 beta=90.00 gamma=90.00
Fractional coordinates of all 8 atoms:
N (0.0000, 0.0000, 0.0000)
Tb (0.5000, 0.2271, 0.1856)
Cl (0.0000, 0.5000, 0.5000)
Tb (0.5000, 0.7729, 0.8144)
Tb (0.0000, 0.2682, 0.8127)
Cl (0.5000, 0.0000, 0.5000)
C (0.5000, 0.5000, 0.0000)
Tb (0.0000, 0.7318, 0.1873)

Summary:
- space group = No. 10
- electronic total energy (eV/cell) = -50.58
- theoretical density (g/cm3) = 7.9

Compound: Tb6C2NCl3
Source: Alexandria via LeMat-Bulk
Functional: GGA-PBE
Structure: optimized geometry

Unit cell a=6.2864 b=6.2864 c=7.1249 alpha=98.46 beta=98.46 gamma=120.00
Fractional coordinates of all 12 atoms:
Tb (0.3941, 0.0625, 0.1877)
Tb (0.0625, 0.3941, 0.1877)
Tb (0.9375, 0.6059, 0.8123)
C (0.3335, 0.6665, 0.0000)
Cl (0.5000, 0.5000, 0.5000)
Tb (0.2688, 0.2688, 0.8121)
Cl (0.1683, 0.8317, 0.5000)
Cl (0.8317, 0.1683, 0.5000)
Tb (0.7312, 0.7312, 0.1879)
C (0.6665, 0.3335, 0.0000)
Tb (0.6059, 0.9375, 0.8123)
N (0.0000, 0.0000, 0.0000)

Summary:
- space group = No. 12
- electronic total energy (eV/cell) = -75.36
- theoretical density (g/cm3) = 7.8

Compound: Th6C3N2Cl
Source: Alexandria via LeMat-Bulk
Functional: GGA-PBE
Structure: optimized geometry

Unit cell a=3.7722 b=7.6433 c=8.4731 alpha=102.51 beta=102.86 gamma=90.00
Fractional coordinates of all 12 atoms:
C (0.1682, 0.8325, 0.3363)
N (0.8266, 0.6608, 0.6532)
Th (0.3320, 0.4179, 0.6640)
N (0.1734, 0.3392, 0.3468)
Cl (0.5000, 0.0000, 0.0000)
Th (0.9998, 0.7235, 0.9997)
Th (0.6680, 0.5821, 0.3360)
C (0.8318, 0.1675, 0.6637)
Th (0.6765, 0.0917, 0.3529)
C (0.5000, 0.5000, 0.0000)
Th (0.3235, 0.9083, 0.6471)
Th (0.0002, 0.2765, 0.0003)

Summary:
- space group = No. 12
- electronic total energy (eV/cell) = -101.33
- theoretical density (g/cm3) = 10.7

Compound: NaCCl2
Source: Alexandria via LeMat-Bulk
Functional: GGA-PBE
Structure: optimized geometry

Unit cell a=5.4238 b=5.4238 c=7.6335 alpha=69.19 beta=69.19 gamma=90.00
Last column: magnetic moment on the atom in μB.
Fractional coordinates of all 8 atoms:
Cl (0.3750, 0.4529, 0.7500)  -0.01
Cl (0.2029, 0.6250, 0.2500)  -0.01
C (0.5000, 0.5000, 0.0000)  0.52
Na (0.0000, 0.0000, 0.0000)  0.00
Cl (0.8750, 0.7971, 0.7500)  0.00
Na (0.7500, 0.2500, 0.5000)  0.00
Cl (0.5471, 0.1250, 0.2500)  -0.01
C (0.2500, 0.7500, 0.5000)  0.51

Summary:
- space group = No. 122
- E above lowest polymorph (meV per atom) = 0
- electronic total energy (eV/cell) = -24.05
- theoretical density (g/cm3) = 1.8

Compound: NaCCl2
Source: Alexandria via LeMat-Bulk
Functional: GGA-PBE
Structure: optimized geometry

Unit cell a=7.7875 b=7.7875 c=7.7875 alpha=30.48 beta=30.48 gamma=30.48
Last column: magnetic moment on the atom in μB.
Fractional coordinates of all 4 atoms:
Cl (0.0972, 0.0972, 0.0972)  -0.01
C (0.0000, 0.0000, 0.0000)  0.51
Na (0.5000, 0.5000, 0.5000)  0.00
Cl (0.9028, 0.9028, 0.9028)  -0.01

Summary:
- space group = No. 166
- E above lowest polymorph (meV per atom) = 53
- electronic total energy (eV/cell) = -11.81
- theoretical density (g/cm3) = 1.6

Compound: Na2CCl
Source: Alexandria via LeMat-Bulk
Functional: GGA-PBE
Structure: optimized geometry

Unit cell a=6.8127 b=6.8127 c=6.5757 alpha=58.80 beta=58.80 gamma=90.00
Last column: magnetic moment on the atom in μB.
Fractional coordinates of all 8 atoms:
Cl (0.7500, 0.2500, 0.5000)  0.04
Na (0.6098, 0.1250, 0.2500)  0.03
C (0.5000, 0.5000, 0.0000)  1.23
Cl (0.0000, 0.0000, 0.0000)  0.04
Na (0.3750, 0.3902, 0.7500)  0.03
C (0.2500, 0.7500, 0.5000)  1.23
Na (0.1402, 0.6250, 0.2500)  0.03
Na (0.8750, 0.8598, 0.7500)  0.03

Summary:
- space group = No. 122
- E above lowest polymorph (meV per atom) = 0
- electronic total energy (eV/cell) = -24.33
- theoretical density (g/cm3) = 1.5

Compound: NaCCl2
Source: Alexandria via LeMat-Bulk
Functional: GGA-PBE
Structure: optimized geometry

Unit cell a=4.7214 b=4.7214 c=4.7214 alpha=60.00 beta=60.00 gamma=60.00
Last column: magnetic moment on the atom in μB.
Fractional coordinates of all 4 atoms:
Na (0.5000, 0.5000, 0.5000)  0.00
C (0.0000, 0.0000, 0.0000)  0.57
Cl (0.7500, 0.7500, 0.7500)  -0.02
Cl (0.2500, 0.2500, 0.2500)  -0.02

Summary:
- space group = No. 225
- E above lowest polymorph (meV per atom) = 316
- electronic total energy (eV/cell) = -10.76
- theoretical density (g/cm3) = 2.4

Compound: NaCCl2
Source: Alexandria via LeMat-Bulk
Functional: GGA-PBE
Structure: optimized geometry

Unit cell a=7.6422 b=7.6422 c=7.6422 alpha=31.08 beta=31.08 gamma=31.08
Last column: magnetic moment on the atom in μB.
Fractional coordinates of all 4 atoms:
Na (0.0000, 0.0000, 0.0000)  0.00
Cl (0.1143, 0.1143, 0.1143)  0.02
Cl (0.8857, 0.8857, 0.8857)  0.02
C (0.5000, 0.5000, 0.5000)  0.50

Summary:
- space group = No. 166
- E above lowest polymorph (meV per atom) = 395
- electronic total energy (eV/cell) = -10.45
- theoretical density (g/cm3) = 1.7